#w
This record from Alexandria via LeMat-Bulk describes a relaxed Ca2HCl2 crystal. The functional is GGA-PBE.

Structure (POSCAR):
```
Ca2HCl2
1.0
-7.0217 -0.0010 0.3374
0.0388 -6.9855 0.7867
0.2096 0.4925 4.3629
Cl Ca H
4 4 2
Direct
0.3442 0.1558 0.5000 Cl
0.1558 0.6558 0.5000 Cl
0.6558 0.8442 0.5000 Cl
0.8442 0.3442 0.5000 Cl
0.8232 0.6768 0.0000 Ca
0.6768 0.1768 0.0000 Ca
0.3232 0.8232 0.0000 Ca
0.1768 0.3232 0.0000 Ca
0.5000 0.5000 0.0000 H
0.0000 0.0000 0.0000 H
```

Calculated values
Fermi-level density of states   0.3050 states/eV/atom

#x
This record from Alexandria via LeMat-Bulk describes a relaxed Ca2HCl2 crystal. The functional is GGA-PBE.

Structure (POSCAR):
```
Ca2HCl2
1.0
4.8198 0.0000 0.0000
0.0000 4.8198 0.0000
0.0000 0.0000 12.9396
Cl H Ca
2 1 2
Direct
0.5000 0.5000 0.3482 Cl
0.5000 0.5000 0.6518 Cl
0.5000 0.5000 0.0000 H
0.5000 0.5000 0.8363 Ca
0.5000 0.5000 0.1637 Ca
```

Calculated values
Fermi-level density of states   0.5247 states/eV/atom

Which one is most stable, and which one is least stable? #w is the most stable of them, while #x is the least stable.

#w
This record from Alexandria via LeMat-Bulk describes a relaxed CaH2Cl crystal. The functional is GGA-PBE.

Structure (POSCAR):
```
CaH2Cl
1.0
-2.3077 -2.3363 2.1118
3.1173 -2.0664 1.1206
1.3825 2.9338 8.3656
H Ca Cl
4 2 2
Direct
0.3750 0.1249 0.7500 H
0.8751 0.1250 0.2500 H
0.8749 0.6250 0.2500 H
0.8750 0.1251 0.7500 H
0.0000 0.0000 0.0000 Ca
0.7500 0.2500 0.5000 Ca
0.2500 0.7500 0.5000 Cl
0.5000 0.5000 0.0000 Cl
```

Calculated values
Fermi-level density of states   0.1254 states/eV/atom

#x
This record from Alexandria via LeMat-Bulk describes a relaxed CaH2Cl crystal. The functional is GGA-PBE.

Structure (POSCAR):
```
CaH2Cl
1.0
0.0000 2.9724 2.9724
2.9724 0.0000 2.9724
2.9724 2.9724 0.0000
H Cl Ca
2 1 1
Direct
0.7500 0.7500 0.7500 H
0.2500 0.2500 0.2500 H
0.0000 0.0000 0.0000 Cl
0.5000 0.5000 0.5000 Ca
```

Calculated values
Fermi-level density of states   0.5917 states/eV/atom

Which one is most stable, and which one is least stable? #w is the most stable of them, while #x is the least stable.

#w
This record from Alexandria via LeMat-Bulk describes a relaxed CaP2HCl crystal. The functional is GGA-PBE.

Structure (POSCAR):
```
CaP2HCl
1.0
5.6444 0.0000 0.0000
0.0000 5.6444 0.0000
0.0000 0.0000 5.3472
Ca P H Cl
1 2 1 1
Direct
0.0000 0.0000 0.0000 Ca
0.0000 0.5000 0.0000 P
0.5000 0.0000 0.0000 P
0.5000 0.5000 0.5000 H
0.0000 0.0000 0.5000 Cl
```

Calculated values
Fermi-level density of states   0.7665 states/eV/atom

#x
This record from Alexandria via LeMat-Bulk describes a relaxed CaP2HCl crystal. The functional is GGA-PBE.

Structure (POSCAR):
```
CaP2HCl
1.0
3.7807 0.0000 0.0000
0.0000 3.7807 0.0000
0.0000 0.0000 5.9089
P H Ca Cl
2 1 1 1
Direct
0.5000 0.0000 0.0000 P
0.0000 0.5000 0.0000 P
0.0000 0.0000 0.0000 H
0.5000 0.5000 0.5000 Ca
0.0000 0.0000 0.5000 Cl
```

Calculated values
Fermi-level density of states   0.6421 states/eV/atom

Which one is most stable, and which one is least stable? #x is the most stable of them, while #w is the least stable.

#w
This record from Alexandria via LeMat-Bulk describes a relaxed CaPHCl2 crystal. The functional is GGA-PBE.

Structure (POSCAR):
```
CaPHCl2
1.0
5.3153 0.0000 0.0000
0.0000 5.3153 0.0000
0.0000 0.0000 6.6641
Cl H Ca P
2 1 1 1
Direct
0.5000 0.0000 0.0000 Cl
0.0000 0.5000 0.0000 Cl
0.5000 0.5000 0.5000 H
0.0000 0.0000 0.0000 Ca
0.0000 0.0000 0.5000 P
```

#x
This record from Alexandria via LeMat-Bulk describes a relaxed CaPHCl2 crystal. The functional is GGA-PBE.

Structure (POSCAR):
```
CaPHCl2
1.0
4.9786 0.0000 0.0000
0.0000 4.9786 0.0000
0.0000 0.0000 3.5442
H Cl P Ca
1 2 1 1
Direct
0.0000 0.0000 0.0000 H
0.0000 0.5000 0.0000 Cl
0.5000 0.0000 0.0000 Cl
0.0000 0.0000 0.5000 P
0.5000 0.5000 0.5000 Ca
```

Calculated values
Fermi-level density of states   0.6176 states/eV/atom

Which one is most stable, and which one is least stable? #x is the most stable of them, while #w is the least stable.